Density functional theory data (GGA-PBE) for Li3SmAg7 after structural relaxation.

## Properties
D(E_F)   4.410 states/eV per cell
Formation energy from the elements   -0.063 eV per atom
Space-group type   No. 12
Volume   19.50 Å³ per atom
Energy   -31.114 eV per cell

Lattice parameters (Å, degrees): 5.7833 8.1104 8.1104 61.88 131.26 131.26
Closest atoms and distances in Å follow each position.
Fractional coordinates of all 11 atoms:
Ag (0.2622, 0.2140, 0.2140)  3 Li 2.61-2.85, 3 Ag 2.80-2.82
Ag (0.7586, 0.0652, 0.4165)  5 Ag 2.80-3.06, 3 Li 2.81-2.90, 1 Sm 3.12
Ag (0.7378, 0.7860, 0.7860)  3 Li 2.61-2.85, 3 Ag 2.80-2.82
Ag (0.2414, 0.5835, 0.9348)  5 Ag 2.80-3.06, 3 Li 2.81-2.90, 1 Sm 3.12
Ag (0.2414, 0.9348, 0.5835)  5 Ag 2.80-3.06, 3 Li 2.81-2.90, 1 Sm 3.12
Ag (0.0000, 0.5000, 0.5000)  2 Li 2.56, 2 Ag 2.82
Ag (0.7586, 0.4165, 0.0652)  5 Ag 2.80-3.06, 3 Li 2.81-2.90, 1 Sm 3.12
Sm (0.5000, 0.5000, 0.5000)  8 Ag 2.89-3.12
Li (0.0000, 0.1932, 0.8068)  5 Ag 2.56-2.81
Li (0.5000, 0.0000, 0.0000)  6 Ag 2.81-2.85
Li (0.0000, 0.8068, 0.1932)  5 Ag 2.56-2.81